Density functional theory data (PBE-GGA) for a geometry-optimized PmSn3 structure.

Lattice parameters (Å, degrees): 4.5209 4.5209 6.2005 111.38 111.38 90.00
Atoms (fractional coordinates):
Sn 0.7500 0.2500 0.5000
Sn 0.2500 0.7500 0.5000
Sn 0.5000 0.5000 0.0000
Pm 0.0000 0.0000 0.0000

Properties
space group: I4/mmm (139)
ΔE_f: -0.455 eV per atom
magnetization: 0.0000 μB/atom
Fermi-level density of states: 0.52 states/eV/atom